[1]
DFT (GGA-PBE) results for crystalline Ta2CdPt at its relaxed geometry.

Geometry as POSCAR:
```
Ta2CdPt
1.0
4.856 -1.476 0.000
4.856 1.476 0.000
-1.148 0.000 5.024
Ta Cd Pt
2 1 1
Cartesian
0.000 0.000 0.000
6.931 0.000 1.186
1.426 0.000 3.666
4.056 0.000 2.417
```

Summary:
The calculation puts the formation energy at -0.055 eV per atom. Its space group is Cm, No. 8. The calculation puts the volume at 72.02 Å³/cell.

=====

[2]
DFT (GGA-PBE) results for crystalline Mg2CoHAu at its relaxed geometry.

Geometry as POSCAR:
```
Mg2CoHAu
1.0
4.440 0.000 0.000
0.000 4.440 0.000
0.000 0.000 3.310
Mg Co H Au
2 1 1 1
Cartesian
0.000 2.220 0.000
2.220 0.000 0.000
0.000 0.000 1.655
0.000 0.000 0.000
2.220 2.220 1.655
```

Summary:
Its space group is P4/mmm, No. 123. The calculation puts the energy at -3.65 eV per atom. The calculation puts the volume at 65.25 Å³/cell.

=====

[3]
DFT (GGA-PBE) results for crystalline Ti2Nb8Rh at its relaxed geometry.

Geometry as POSCAR:
```
Ti2Nb8Rh
1.0
7.667 -2.331 0.000
7.667 2.331 0.000
-0.019 0.000 5.416
Ti Nb Rh
2 8 1
Cartesian
2.077 0.000 1.693
13.238 0.000 3.723
0.689 0.000 4.201
3.483 0.000 4.641
4.900 0.000 2.218
6.270 0.000 5.152
9.045 0.000 0.265
10.416 0.000 3.198
11.832 0.000 0.776
14.626 0.000 1.215
7.658 0.000 2.708
```

Summary:
The calculation puts the formation energy at -0.094 eV per atom. Its space group is C2/m, No. 12. The calculation puts the volume at 193.60 Å³/cell.